This record from the Alexandria database describes a geometry-optimized Nd4YSc2 structure. The functional is PBE.

## Properties
volume = 223.08 Å³/f.u.
ρ = 5.63 g/cm3
size of the total moment = 0.0000 μB/atom
formation energy = 0.42 eV/f.u.
Fermi-level density of states = 1.635 states/eV/atom

```
data_Nd4YSc2
_chemical_formula_sum 'Nd8 Y2 Sc4'
_symmetry_space_group_name_H-M 'P -1'
_symmetry_Int_Tables_number 2
_cell_length_a 3.6481
_cell_length_b 8.4825
_cell_length_c 14.6814
_cell_angle_alpha 98.18
_cell_angle_beta 97.12
_cell_angle_gamma 90.03
loop_
_symmetry_equiv_pos_as_xyz
'x,y,z'
'-x,-y,-z'
loop_
_atom_site_label
_atom_site_fract_x
_atom_site_fract_y
_atom_site_fract_z
Nd1 0.0077 0.2017 0.0169
Nd2 0.2743 0.3610 0.5495
Nd3 0.2996 0.9442 0.5989
Nd4 0.4416 0.4569 0.8804
Y1 0.1416 0.3335 0.2817
Sc1 0.1386 0.7596 0.2778
Sc2 0.4150 0.0029 0.8302
```